Cs4Sm3InO8 | PBE-GGA | relaxed

Geometry as CIF:
```
data_Cs4Sm3InO8
_chemical_formula_sum 'Cs12 Sm9 In3 O24'
_symmetry_space_group_name_H-M 'R -3 m'
_symmetry_Int_Tables_number 166
_symmetry_space_group_name_Hall '-R 3 2"'
_cell_length_a 7.2189
_cell_length_b 7.2189
_cell_length_c 20.7195
_cell_angle_alpha 90.00
_cell_angle_beta 90.00
_cell_angle_gamma 120.00
loop_
_atom_site_label
_atom_site_fract_x
_atom_site_fract_y
_atom_site_fract_z
Cs1 0.0000 0.0000 0.0000
Cs2 0.0000 0.5000 0.0000
Sm1 0.0000 0.5000 0.5000
In1 0.0000 0.0000 0.5000
O1 0.0000 0.0000 0.2221
O2 0.0072 0.5036 0.2230
```

Output
The value obtained for the size of the total moment is 0.0 μB/cell. Its raw total energy is -287.0 eV for the cell shown.

=====

Cs4Tb3InO8 | PBE-GGA | relaxed

Geometry as CIF:
```
data_Cs4Tb3InO8
_chemical_formula_sum 'Cs12 Tb9 In3 O24'
_symmetry_space_group_name_H-M 'R -3 m'
_symmetry_Int_Tables_number 166
_symmetry_space_group_name_Hall '-R 3 2"'
_cell_length_a 7.1053
_cell_length_b 7.1053
_cell_length_c 20.6421
_cell_angle_alpha 90.00
_cell_angle_beta 90.00
_cell_angle_gamma 120.00
loop_
_atom_site_label
_atom_site_fract_x
_atom_site_fract_y
_atom_site_fract_z
Cs1 0.0000 0.0000 0.0000
Cs2 0.0000 0.5000 0.0000
Tb1 0.0000 0.5000 0.5000
In1 0.0000 0.0000 0.5000
O1 0.0000 0.0000 0.2212
O2 0.0029 0.5015 0.2223
```

Output
The value obtained for the size of the total moment is 0.0 μB/cell. Its raw total energy is -288.8 eV for the cell shown.

=====

Cs2TbInO4 | PBE-GGA | relaxed

Geometry as CIF:
```
data_Cs2TbInO4
_chemical_formula_sum 'Cs16 Tb8 In8 O32'
_symmetry_space_group_name_H-M 'F d d d'
_symmetry_Int_Tables_number 70
_cell_length_a 5.918
_cell_length_b 13.563
_cell_length_c 22.570
_cell_angle_alpha 90.00
_cell_angle_beta 90.00
_cell_angle_gamma 90.00
loop_
_symmetry_equiv_pos_as_xyz
'x,y,z'
'-x,-y,-z'
'-x+1/4,-y+1/4,z'
'x+1/4,y+1/4,-z'
'x,-y+1/4,-z+1/4'
'-x,y+1/4,z+1/4'
'-x+1/4,y,-z+1/4'
'x+1/4,-y,z+1/4'
'x,y+1/2,z+1/2'
'-x,-y+1/2,-z+1/2'
'-x+1/4,-y+3/4,z+1/2'
'x+1/4,y+3/4,-z+1/2'
'x,-y+3/4,-z+3/4'
'-x,y+3/4,z+3/4'
'-x+1/4,y+1/2,-z+3/4'
'x+1/4,-y+1/2,z+3/4'
'x+1/2,y,z+1/2'
'-x+1/2,-y,-z+1/2'
'-x+3/4,-y+1/4,z+1/2'
'x+3/4,y+1/4,-z+1/2'
'x+1/2,-y+1/4,-z+3/4'
'-x+1/2,y+1/4,z+3/4'
'-x+3/4,y,-z+3/4'
'x+3/4,-y,z+3/4'
'x+1/2,y+1/2,z'
'-x+1/2,-y+1/2,-z'
'-x+3/4,-y+3/4,z'
'x+3/4,y+3/4,-z'
'x+1/2,-y+3/4,-z+1/4'
'-x+1/2,y+3/4,z+1/4'
'-x+3/4,y+1/2,-z+1/4'
'x+3/4,-y+1/2,z+1/4'
loop_
_atom_site_label
_atom_site_fract_x
_atom_site_fract_y
_atom_site_fract_z
Cs1 0.125 0.125 0.308
Tb1 0.125 0.125 0.125
In1 0.125 0.125 0.625
O1 0.120 0.286 0.832
```

Output
The value obtained for the size of the total moment is 0.1 μB/cell. Its raw total energy is -345.6 eV for the cell shown.

=====

Cs2InTe2O6 | PBE-GGA | relaxed

Geometry as CIF:
```
data_Cs2InTe2O6
_chemical_formula_sum 'Cs6 In3 Te6 O18'
_symmetry_space_group_name_H-M 'R -3 m'
_symmetry_Int_Tables_number 166
_symmetry_space_group_name_Hall '-R 3 2"'
_cell_length_a 6.4385
_cell_length_b 6.4385
_cell_length_c 20.1814
_cell_angle_alpha 90.00
_cell_angle_beta 90.00
_cell_angle_gamma 120.00
loop_
_atom_site_label
_atom_site_fract_x
_atom_site_fract_y
_atom_site_fract_z
Cs1 0.0000 0.0000 0.2113
In1 0.0000 0.0000 0.0000
Te1 0.0000 0.0000 0.4161
O1 0.0167 0.5084 0.7333
```

Output
The value obtained for the size of the total moment is 0.0 μB/cell. Its raw total energy is -158.6 eV for the cell shown.

=====

CsInTe3O8 | PBE-GGA | relaxed

Geometry as CIF:
```
data_CsInTe3O8
_chemical_formula_sum 'Cs2 In2 Te6 O16'
_symmetry_space_group_name_H-M 'P -1'
_symmetry_Int_Tables_number 2
_symmetry_space_group_name_Hall '-P 1'
_cell_length_a 5.893
_cell_length_b 7.990
_cell_length_c 11.432
_cell_angle_alpha 78.98
_cell_angle_beta 89.60
_cell_angle_gamma 70.94
loop_
_atom_site_label
_atom_site_fract_x
_atom_site_fract_y
_atom_site_fract_z
Cs1 0.172 0.112 0.336
In1 0.000 0.500 0.000
In2 0.500 0.500 0.500
Te1 0.066 0.334 0.649
Te2 0.216 0.019 0.919
Te3 0.486 0.530 0.162
O1 0.117 0.959 0.103
O2 0.178 0.724 0.425
O3 0.190 0.259 0.926
O4 0.230 0.087 0.732
O5 0.251 0.625 0.907
O6 0.264 0.405 0.155
O7 0.270 0.327 0.519
O8 0.394 0.563 0.677
```

Output
The value obtained for the size of the total moment is 0.0 μB/cell. Its raw total energy is -138.8 eV for the cell shown.

=====

Cs2TmInO4 | PBE-GGA | relaxed

Geometry as CIF:
```
data_Cs2TmInO4
_chemical_formula_sum 'Cs16 Tm8 In8 O32'
_symmetry_space_group_name_H-M 'F d d d'
_symmetry_Int_Tables_number 70
_cell_length_a 5.832
_cell_length_b 13.495
_cell_length_c 22.371
_cell_angle_alpha 90.00
_cell_angle_beta 90.00
_cell_angle_gamma 90.00
loop_
_symmetry_equiv_pos_as_xyz
'x,y,z'
'-x,-y,-z'
'-x+1/4,-y+1/4,z'
'x+1/4,y+1/4,-z'
'x,-y+1/4,-z+1/4'
'-x,y+1/4,z+1/4'
'-x+1/4,y,-z+1/4'
'x+1/4,-y,z+1/4'
'x,y+1/2,z+1/2'
'-x,-y+1/2,-z+1/2'
'-x+1/4,-y+3/4,z+1/2'
'x+1/4,y+3/4,-z+1/2'
'x,-y+3/4,-z+3/4'
'-x,y+3/4,z+3/4'
'-x+1/4,y+1/2,-z+3/4'
'x+1/4,-y+1/2,z+3/4'
'x+1/2,y,z+1/2'
'-x+1/2,-y,-z+1/2'
'-x+3/4,-y+1/4,z+1/2'
'x+3/4,y+1/4,-z+1/2'
'x+1/2,-y+1/4,-z+3/4'
'-x+1/2,y+1/4,z+3/4'
'-x+3/4,y,-z+3/4'
'x+3/4,-y,z+3/4'
'x+1/2,y+1/2,z'
'-x+1/2,-y+1/2,-z'
'-x+3/4,-y+3/4,z'
'x+3/4,y+3/4,-z'
'x+1/2,-y+3/4,-z+1/4'
'-x+1/2,y+3/4,z+1/4'
'-x+3/4,y+1/2,-z+1/4'
'x+3/4,-y+1/2,z+1/4'
loop_
_atom_site_label
_atom_site_fract_x
_atom_site_fract_y
_atom_site_fract_z
Cs1 0.125 0.125 0.305
Tm1 0.125 0.125 0.125
In1 0.125 0.125 0.625
O1 0.124 0.288 0.419
```

Output
The value obtained for the size of the total moment is 0.5 μB/cell. Its raw total energy is -347.8 eV for the cell shown.

=====

Cs4U3InO12 | PBE-GGA | relaxed

Geometry as CIF:
```
data_Cs4U3InO12
_chemical_formula_sum 'Cs8 U6 In2 O24'
_symmetry_space_group_name_H-M 'I m -3 m'
_symmetry_Int_Tables_number 229
_symmetry_space_group_name_Hall '-I 4 2 3'
_cell_length_a 8.781
_cell_length_b 8.781
_cell_length_c 8.781
_cell_angle_alpha 90.00
_cell_angle_beta 90.00
_cell_angle_gamma 90.00
loop_
_atom_site_label
_atom_site_fract_x
_atom_site_fract_y
_atom_site_fract_z
Cs1 0.250 0.250 0.250
U1 0.000 0.000 0.500
In1 0.000 0.000 0.000
O1 0.000 0.000 0.266
O2 0.000 0.250 0.500
```

Output
The value obtained for the size of the total moment is 2.0 μB/cell. Its raw total energy is -300.4 eV for the cell shown.

=====

Cs3U2InO9 | PBE-GGA | relaxed

Geometry as CIF:
```
data_Cs3U2InO9
_chemical_formula_sum 'Cs3 U2 In1 O9'
_symmetry_space_group_name_H-M 'P -3 m 1'
_symmetry_Int_Tables_number 164
_symmetry_space_group_name_Hall '-P 3 2"'
_cell_length_a 6.1884
_cell_length_b 6.1884
_cell_length_c 7.5864
_cell_angle_alpha 90.00
_cell_angle_beta 90.00
_cell_angle_gamma 120.00
loop_
_atom_site_label
_atom_site_fract_x
_atom_site_fract_y
_atom_site_fract_z
Cs1 0.0000 0.0000 0.0000
Cs2 0.3333 0.6667 0.6613
U1 0.3333 0.6667 0.1698
In1 0.0000 0.0000 0.5000
O1 0.0000 0.5000 0.0000
O2 0.1746 0.3493 0.3228
```

Output
The value obtained for the size of the total moment is 0.0 μB/cell. Its raw total energy is -108.9 eV for the cell shown.

=====

Ordered energy relative to the elements, uncorrected results: -2.231; -2.286; -1.786; -1.125; -1.287; -1.840; -2.535; -2.428; unit eV/atom.